# 1
Computed, not measured: Ca2ZnGaMo after structural relaxation at the PBE level of DFT.

Calculated values
**V**: 30.9 Å³ per atom
**SG**: P4/mmm, No. 123
**Formation enthalpy at 0 K**: 0.616 eV/atom
**Size of the total moment**: 3.362 μB per cell

Cell: 5.648 5.648 4.847 Å, 90.00 90.00 90.00°
Fractional positions:
Ca 0.000 0.500 0.000
Ca 0.500 0.000 0.000
Zn 0.000 0.000 0.500
Ga 0.500 0.500 0.000
Mo 0.500 0.500 0.500


# 2
Computed, not measured: Ca6Ga2N after structural relaxation at the PBE level of DFT.

Calculated values
**V**: 31.8 Å³ per atom
**SG**: C2/m, No. 12
**Formation energy from raw total energies**: -239 meV per atom
**Size of the total moment**: 0.000 μB per cell
**Energy relative to the lowest polymorph listed for this composition**: 0.221 eV/atom

Cell: 7.628 7.628 9.614 Å, 96.80 96.80 31.08°
Fractional positions:
Ca 0.020 0.020 0.273
Ca 0.156 0.156 0.560
Ca 0.350 0.350 0.988
Ca 0.650 0.650 0.012
Ca 0.844 0.844 0.440
Ca 0.980 0.980 0.727
Ga 0.231 0.231 0.238
Ga 0.769 0.769 0.762
N 0.000 0.000 0.500


# 3
Computed, not measured: CaGa2N2 after structural relaxation at the PBE level of DFT.

Calculated values
**V**: 15.4 Å³ per atom
**SG**: C2/c, No. 15
**Formation energy from raw total energies**: -86 meV per atom
**Size of the total moment**: 0.000 μB per cell
**Energy relative to the lowest polymorph listed for this composition**: 0.288 eV/atom

Cell: 5.977 5.977 5.416 Å, 116.66 116.66 81.80°
Fractional positions:
Ca 0.116 0.884 0.750
Ca 0.884 0.116 0.250
Ga 0.239 0.477 0.947
Ga 0.477 0.239 0.447
Ga 0.523 0.761 0.553
Ga 0.761 0.523 0.053
N 0.184 0.816 0.250
N 0.425 0.575 0.750
N 0.575 0.425 0.250
N 0.816 0.184 0.750


# 4
Computed, not measured: CaGaN after structural relaxation at the PBE level of DFT.

Calculated values
**V**: 20.2 Å³ per atom
**SG**: Immm, No. 71
**Formation energy from raw total energies**: -169 meV per atom
**Size of the total moment**: 0.000 μB per cell
**Energy relative to the lowest polymorph listed for this composition**: 0.559 eV/atom

Cell: 6.617 6.617 6.617 Å, 141.28 137.53 58.81°
Fractional positions:
Ca 0.171 0.171 0.000
Ca 0.829 0.829 0.000
Ga 0.241 0.500 0.741
Ga 0.759 0.500 0.259
N 0.367 0.367 0.000
N 0.633 0.633 0.000


# 5
Computed, not measured: CaGaN2 after structural relaxation at the PBE level of DFT.

Calculated values
**V**: 15.2 Å³ per atom
**SG**: R-3m, No. 166
**Formation energy from raw total energies**: 588 meV per atom
**Size of the total moment**: 1.256 μB per cell

Cell: 6.613 6.613 6.613 Å, 29.14 29.14 29.14°
Fractional positions:
Ca 0.000 0.000 0.000
Ga 0.500 0.500 0.500
N 0.116 0.116 0.116
N 0.884 0.884 0.884


# 6
Computed, not measured: CaGaN2 after structural relaxation at the PBE level of DFT.

Calculated values
**V**: 13.6 Å³ per atom
**SG**: I-42d, No. 122
**Formation energy from raw total energies**: -295 meV per atom
**Size of the total moment**: 0.000 μB per cell

Cell: 5.253 5.253 5.253 Å, 114.99 114.99 98.92°
Fractional positions:
Ca 0.000 0.000 0.000
Ca 0.750 0.250 0.500
Ga 0.250 0.750 0.500
Ga 0.500 0.500 0.000
N 0.191 0.125 0.566
N 0.375 0.809 0.934
N 0.559 0.625 0.434
N 0.875 0.441 0.066


# 7
Computed, not measured: Ca6Ga2N after structural relaxation at the PBE level of DFT.

Calculated values
**V**: 27.0 Å³ per atom
**SG**: Fm-3m, No. 225
**Formation energy from raw total energies**: -461 meV per atom
**Size of the total moment**: 1.517 μB per cell
**Energy relative to the lowest polymorph listed for this composition**: 0.000 eV/atom

Cell: 7.001 7.001 7.001 Å, 60.00 60.00 60.00°
Fractional positions:
Ca 0.240 0.240 0.760
Ca 0.240 0.760 0.240
Ca 0.240 0.760 0.760
Ca 0.760 0.240 0.240
Ca 0.760 0.240 0.760
Ca 0.760 0.760 0.240
Ga 0.250 0.250 0.250
Ga 0.750 0.750 0.750
N 0.000 0.000 0.000


# 8
Computed, not measured: CaGaN after structural relaxation at the PBE level of DFT.

Calculated values
**V**: 16.3 Å³ per atom
**SG**: P4/nmm, No. 129
**Formation energy from raw total energies**: -728 meV per atom
**Size of the total moment**: 0.000 μB per cell
**Energy relative to the lowest polymorph listed for this composition**: 0.000 eV/atom

Cell: 3.591 3.591 7.570 Å, 90.00 90.00 90.00°
Fractional positions:
Ca 0.250 0.250 0.149
Ca 0.750 0.750 0.851
Ga 0.250 0.250 0.584
Ga 0.750 0.750 0.416
N 0.250 0.250 0.829
N 0.750 0.750 0.171


# 9
Computed, not measured: CaGaN after structural relaxation at the PBE level of DFT.

Calculated values
**V**: 18.3 Å³ per atom
**SG**: I4/mmm, No. 139
**Formation energy from raw total energies**: -497 meV per atom
**Size of the total moment**: 0.000 μB per cell
**Energy relative to the lowest polymorph listed for this composition**: 0.231 eV/atom

Cell: 8.925 8.925 8.925 Å, 156.83 156.83 32.99°
Fractional positions:
Ca 0.183 0.183 0.000
Ca 0.817 0.817 0.000
Ga 0.432 0.432 0.000
Ga 0.568 0.568 0.000
N 0.325 0.325 0.000
N 0.675 0.675 0.000


# 10
Computed, not measured: Ca3GaN3 after structural relaxation at the PBE level of DFT.

Calculated values
**V**: 15.0 Å³ per atom
**SG**: Cmce, No. 64
**Formation energy from raw total energies**: -722 meV per atom
**Size of the total moment**: 0.000 μB per cell

Cell: 8.086 8.086 9.753 Å, 90.00 90.00 41.05°
Fractional positions:
Ca 0.035 0.326 0.865
Ca 0.136 0.864 0.843
Ca 0.174 0.465 0.635
Ca 0.326 0.035 0.135
Ca 0.364 0.636 0.343
Ca 0.465 0.174 0.365
Ca 0.535 0.826 0.635
Ca 0.636 0.364 0.657
Ca 0.674 0.965 0.865
Ca 0.826 0.535 0.365
Ca 0.864 0.136 0.157
Ca 0.965 0.674 0.135
Ga 0.090 0.090 0.500
Ga 0.410 0.410 0.000
Ga 0.590 0.590 0.000
Ga 0.910 0.910 0.500
N 0.062 0.620 0.382
N 0.120 0.562 0.882
N 0.212 0.788 0.597
N 0.288 0.712 0.097
N 0.380 0.938 0.382
N 0.438 0.880 0.882
N 0.562 0.120 0.118
N 0.620 0.062 0.618
N 0.712 0.288 0.903
N 0.788 0.212 0.403
N 0.880 0.438 0.118
N 0.938 0.380 0.618


# 11
Computed, not measured: CaGa2N2 after structural relaxation at the PBE level of DFT.

Calculated values
**V**: 16.0 Å³ per atom
**SG**: P2_1/c, No. 14
**Formation energy from raw total energies**: -374 meV per atom
**Size of the total moment**: 0.000 μB per cell
**Energy relative to the lowest polymorph listed for this composition**: 0.000 eV/atom

Cell: 5.894 9.851 5.711 Å, 90.00 105.70 90.00°
Fractional positions:
Ca 0.056 0.127 0.233
Ca 0.056 0.373 0.733
Ca 0.944 0.627 0.267
Ca 0.944 0.873 0.767
Ga 0.328 0.623 0.893
Ga 0.328 0.877 0.393
Ga 0.420 0.131 0.945
Ga 0.420 0.369 0.445
Ga 0.580 0.631 0.555
Ga 0.580 0.869 0.055
Ga 0.672 0.123 0.607
Ga 0.672 0.377 0.107
N 0.282 0.531 0.560
N 0.282 0.969 0.060
N 0.355 0.199 0.602
N 0.355 0.301 0.102
N 0.645 0.699 0.898
N 0.645 0.801 0.398
N 0.718 0.031 0.940
N 0.718 0.469 0.440


# 12
Computed, not measured: CaGa3N after structural relaxation at the PBE level of DFT.

Calculated values
**V**: 33.8 Å³ per atom
**SG**: Pm-3m, No. 221
**Formation energy from raw total energies**: 1865 meV per atom
**Size of the total moment**: 0.000 μB per cell
**Energy relative to the lowest polymorph listed for this composition**: 1.587 eV/atom

Cell: 5.528 5.528 5.528 Å, 90.00 90.00 90.00°
Fractional positions:
Ca 0.000 0.000 0.000
Ga 0.000 0.000 0.500
Ga 0.000 0.500 0.000
Ga 0.500 0.000 0.000
N 0.500 0.500 0.500


# 13
Computed, not measured: Ca12Ga3N5 after structural relaxation at the PBE level of DFT.

Calculated values
**V**: 24.8 Å³ per atom
**SG**: Ia-3d, No. 230
**Formation energy from raw total energies**: -503 meV per atom
**Size of the total moment**: 5.542 μB per cell

Cell: 13.710 13.710 13.710 Å, 109.47 109.47 109.47°
Fractional positions:
Ca 0.012 0.195 0.111
Ca 0.012 0.317 0.900
Ca 0.084 0.695 0.683
Ca 0.084 0.889 0.400
Ca 0.100 0.611 0.416
Ca 0.100 0.988 0.683
Ca 0.111 0.012 0.195
Ca 0.111 0.600 0.916
Ca 0.183 0.195 0.584
Ca 0.183 0.488 0.600
Ca 0.195 0.111 0.012
Ca 0.195 0.584 0.183
Ca 0.305 0.317 0.916
Ca 0.305 0.488 0.389
Ca 0.317 0.900 0.012
Ca 0.317 0.916 0.305
Ca 0.389 0.305 0.488
Ca 0.389 0.584 0.900
Ca 0.400 0.084 0.889
Ca 0.400 0.817 0.512
Ca 0.416 0.100 0.611
Ca 0.416 0.817 0.805
Ca 0.488 0.389 0.305
Ca 0.488 0.600 0.183
Ca 0.512 0.400 0.817
Ca 0.512 0.611 0.695
Ca 0.584 0.183 0.195
Ca 0.584 0.900 0.389
Ca 0.600 0.183 0.488
Ca 0.600 0.916 0.111
Ca 0.611 0.416 0.100
Ca 0.611 0.695 0.512
Ca 0.683 0.084 0.695
Ca 0.683 0.100 0.988
Ca 0.695 0.512 0.611
Ca 0.695 0.683 0.084
Ca 0.805 0.416 0.817
Ca 0.805 0.889 0.988
Ca 0.817 0.512 0.400
Ca 0.817 0.805 0.416
Ca 0.889 0.400 0.084
Ca 0.889 0.988 0.805
Ca 0.900 0.012 0.317
Ca 0.900 0.389 0.584
Ca 0.916 0.111 0.600
Ca 0.916 0.305 0.317
Ca 0.988 0.683 0.100
Ca 0.988 0.805 0.889
Ga 0.125 0.250 0.375
Ga 0.125 0.375 0.750
Ga 0.250 0.375 0.125
Ga 0.250 0.875 0.625
Ga 0.375 0.125 0.250
Ga 0.375 0.750 0.125
Ga 0.625 0.250 0.875
Ga 0.625 0.875 0.750
Ga 0.750 0.125 0.375
Ga 0.750 0.625 0.875
Ga 0.875 0.625 0.250
Ga 0.875 0.750 0.625
N 0.000 0.000 0.000
N 0.000 0.000 0.500
N 0.000 0.500 0.000
N 0.000 0.500 0.500
N 0.125 0.750 0.875
N 0.125 0.875 0.250
N 0.250 0.125 0.875
N 0.250 0.625 0.375
N 0.375 0.250 0.625
N 0.375 0.625 0.750
N 0.500 0.000 0.000
N 0.500 0.000 0.500
N 0.500 0.500 0.000
N 0.500 0.500 0.500
N 0.625 0.375 0.250
N 0.625 0.750 0.375
N 0.750 0.375 0.625
N 0.750 0.875 0.125
N 0.875 0.125 0.750
N 0.875 0.250 0.125


# 14
Computed, not measured: Ca5Ga2N5 after structural relaxation at the PBE level of DFT.

Calculated values
**V**: 15.4 Å³ per atom
**SG**: I4mm, No. 107
**Formation energy from raw total energies**: -586 meV per atom
**Size of the total moment**: 0.001 μB per cell

Cell: 6.402 6.402 6.402 Å, 100.93 100.93 128.38°
Fractional positions:
Ca 0.000 0.000 0.000
Ca 0.262 0.262 0.610
Ca 0.262 0.651 0.000
Ca 0.651 0.262 0.000
Ca 0.651 0.651 0.390
Ga 0.397 0.897 0.500
Ga 0.897 0.397 0.500
N 0.152 0.467 0.314
N 0.152 0.838 0.686
N 0.467 0.152 0.314
N 0.587 0.587 0.000
N 0.838 0.152 0.686


# 15
Computed, not measured: CaGaN2 after structural relaxation at the PBE level of DFT.

Calculated values
**V**: 17.9 Å³ per atom
**SG**: R-3m, No. 166
**Formation energy from raw total energies**: 7 meV per atom
**Size of the total moment**: 0.994 μB per cell

Cell: 6.415 6.415 6.415 Å, 33.44 33.44 33.44°
Fractional positions:
Ca 0.000 0.000 0.000
Ga 0.500 0.500 0.500
N 0.404 0.404 0.404
N 0.596 0.596 0.596


# 16
Computed, not measured: CaGa3N after structural relaxation at the PBE level of DFT.

Calculated values
**V**: 18.8 Å³ per atom
**SG**: Pm-3m, No. 221
**Formation energy from raw total energies**: 278 meV per atom
**Size of the total moment**: 0.000 μB per cell
**Energy relative to the lowest polymorph listed for this composition**: 0.000 eV/atom

Cell: 4.549 4.549 4.549 Å, 90.00 90.00 90.00°
Fractional positions:
Ca 0.000 0.000 0.000
Ga 0.000 0.500 0.500
Ga 0.500 0.000 0.500
Ga 0.500 0.500 0.000
N 0.500 0.500 0.500


# 17
Computed, not measured: Ca2Ga2N3 after structural relaxation at the PBE level of DFT.

Calculated values
**V**: 14.3 Å³ per atom
**SG**: C2/m, No. 12
**Formation energy from raw total energies**: -558 meV per atom
**Size of the total moment**: 0.000 μB per cell

Cell: 5.957 5.957 5.563 Å, 109.46 109.46 32.67°
Fractional positions:
Ca 0.111 0.111 0.341
Ca 0.889 0.889 0.659
Ga 0.345 0.345 0.174
Ga 0.655 0.655 0.826
N 0.252 0.252 0.782
N 0.500 0.500 0.500
N 0.748 0.748 0.218


# 18
Computed, not measured: CaGa2N after structural relaxation at the PBE level of DFT.

Calculated values
**V**: 17.2 Å³ per atom
**SG**: I-42d, No. 122
**Formation energy from raw total energies**: -77 meV per atom
**Size of the total moment**: 0.000 μB per cell

Cell: 5.811 5.811 5.811 Å, 100.63 100.63 129.14°
Fractional positions:
Ca 0.000 0.000 0.000
Ca 0.750 0.250 0.500
Ga 0.211 0.125 0.586
Ga 0.375 0.789 0.914
Ga 0.539 0.625 0.414
Ga 0.875 0.461 0.086
N 0.250 0.750 0.500
N 0.500 0.500 0.000


# 19
Computed, not measured: Ca3GaN3 after structural relaxation at the PBE level of DFT.

Calculated values
**V**: 17.2 Å³ per atom
**SG**: R3m, No. 160
**Formation energy from raw total energies**: -715 meV per atom
**Size of the total moment**: 0.000 μB per cell

Cell: 6.206 6.206 6.206 Å, 116.05 116.05 116.05°
Fractional positions:
Ca 0.183 0.183 0.634
Ca 0.183 0.634 0.183
Ca 0.634 0.183 0.183
Ga 0.546 0.546 0.546
N 0.275 0.587 0.587
N 0.587 0.275 0.587
N 0.587 0.587 0.275


# 20
Computed, not measured: NaCa2GaN after structural relaxation at the PBE level of DFT.

Calculated values
**V**: 29.7 Å³ per atom
**SG**: P4/mmm, No. 123
**Formation energy from raw total energies**: 415 meV per atom
**Size of the total moment**: 0.000 μB per cell

Cell: 6.274 6.274 3.775 Å, 90.00 90.00 90.00°
Fractional positions:
Na 0.000 0.000 0.000
Ca 0.000 0.500 0.500
Ca 0.500 0.000 0.500
Ga 0.500 0.500 0.500
N 0.500 0.500 0.000